# 1
The following is a PBE calculation of an optimized crystal structure of TcOsSe2Br, from Alexandria.

It has space group P4/mmm (No. 123), with a = 4.8550 Å, b = 4.8550 Å, c = 5.1605 Å, α = 90.00°, β = 90.00° and γ = 90.00°. Symmetry generates all atoms from Tc at (0.0000, 0.0000, 0.0000), Os at (0.5000, 0.5000, 0.5000), Se at (0.0000, 0.5000, 0.5000) and Br at (0.5000, 0.5000, 0.0000).

The excess energy over the best structure of this formula in the dataset comes out at 0.000 eV per atom. The density comes out at 7181 kg/m³. For the density of states at the Fermi level, the calculation gives 4.5 states/eV/cell. The value obtained for the formation energy (no corrections) is 563 kJ/mol of formula units.

---

# 2
The following is a PBE calculation of an optimized crystal structure of TeOsSe2Br, from Alexandria.

It has space group P4/mmm (No. 123), with a = 4.8855 Å, b = 4.8855 Å, c = 5.0658 Å, α = 90.00°, β = 90.00° and γ = 90.00°. Symmetry generates all atoms from Te at (0.0000, 0.0000, 0.0000), Os at (0.5000, 0.5000, 0.5000), Se at (0.0000, 0.5000, 0.5000) and Br at (0.5000, 0.5000, 0.0000).

The excess energy over the best structure of this formula in the dataset comes out at 0.000 eV per atom. The density comes out at 7631 kg/m³. For the density of states at the Fermi level, the calculation gives 3.8 states/eV/cell. The value obtained for the formation energy (no corrections) is 255 kJ/mol of formula units.